[1]
First-principles (PBE) data for an optimized crystal structure of TeOsI2F, as listed in Alexandria via LeMat-Bulk.

Structure (extended XYZ):
```
5
Lattice="5.510 0.000 0.000 0.000 5.510 0.000 0.000 0.000 4.991" Properties=species:S:1:pos:R:3 pbc="T T T"
Te 0.000 0.000 0.000
Os 0.000 0.000 2.496
I 0.000 2.755 2.496
I 2.755 0.000 2.496
F 2.755 2.755 0.000
```

The value obtained for the formation energy without anion corrections is 2.2 eV/f.u. The density of states at the Fermi level comes out at 7.15 states/eV/f.u. The energy above the most stable polymorph in this dataset comes out at 0.000 eV per formula unit.

***

[2]
First-principles (PBE) data for an optimized crystal structure of TeOsI2F, as listed in Alexandria via LeMat-Bulk.

Structure (extended XYZ):
```
5
Lattice="5.753 0.000 0.000 0.000 5.753 0.000 0.000 0.000 4.207" Properties=species:S:1:pos:R:3 pbc="T T T"
Te 0.000 0.000 0.000
Os 2.877 2.877 0.000
I 0.000 2.877 2.103
I 2.877 0.000 2.103
F 0.000 0.000 2.103
```

The value obtained for the formation energy without anion corrections is 5.6 eV/f.u. The density of states at the Fermi level comes out at 5.03 states/eV/f.u. The energy above the most stable polymorph in this dataset comes out at 3.389 eV per formula unit.